Material: CeNdDyLu
Method: DFT, PBE
State: relaxed

a b c (Å): 5.661 5.661 5.661
angles (deg): 60.00 60.00 60.00
Last column: magnetic moment on the atom in μB.
Fractional coordinates of all 4 atoms:
Dy (0.000, 0.000, 0.000)  0.01
Lu (0.500, 0.500, 0.500)  0.00
Nd (0.750, 0.750, 0.750)  -0.01
Ce (0.250, 0.250, 0.250)  0.60

Output
The mass density is 8.0 g/cm3. The energy of formation is 0.151 eV/atom. For the volume, the calculation gives 32.08 A^3/atom. Its symmetry is No. 216.